Entry 1:
Below is a relaxed InNi2AgH crystal, with properties calculated at the PBE level.

Computed properties:
- uncorrected energy (eV per cell) = -20.23
- crystal system = tetragonal

Cell: 3.9267 3.9267 4.0139 Å, 90.00 90.00 90.00°
Fractional coordinates of all 5 atoms:
Ag: 0.0000 0.0000 0.5000
In: 0.5000 0.5000 0.5000
Ni: 0.0000 0.5000 0.0000
Ni: 0.5000 0.0000 0.0000
H: 0.0000 0.0000 0.0000

---

Entry 2:
Below is a relaxed In2NiAgH crystal, with properties calculated at the PBE level.

Computed properties:
- uncorrected energy (eV per cell) = -16.96
- crystal system = tetragonal

Cell: 5.0903 5.0903 3.1233 Å, 90.00 90.00 90.00°
Fractional coordinates of all 5 atoms:
Ni: 0.0000 0.0000 0.5000
H: 0.0000 0.0000 0.0000
In: 0.5000 0.0000 0.0000
In: 0.0000 0.5000 0.0000
Ag: 0.5000 0.5000 0.5000

---

Entry 3:
Below is a relaxed In2AgHPb crystal, with properties calculated at the PBE level.

Computed properties:
- uncorrected energy (eV per cell) = -14.54
- crystal system = tetragonal

Cell: 5.6341 5.6341 3.5726 Å, 90.00 90.00 90.00°
Fractional coordinates of all 5 atoms:
In: 0.5000 0.0000 0.0000
In: 0.0000 0.5000 0.0000
H: 0.0000 0.0000 0.0000
Pb: 0.5000 0.5000 0.5000
Ag: 0.0000 0.0000 0.5000

---

- What is the uncorrected energy in the first record?
  -20.23 eV per cell

---

- Which value of uncorrected energy does entry 3 give?
  -14.54 eV per cell

---

- What is the formula in the first record?
  InNi2AgH

---

- Number 3 is which compound?
  In2AgHPb